No. 1
The following is a PBE calculation of an optimized crystal structure of RbBi2As2Se6, from the Alexandria database.

Results
Crystal system: triclinic
Energy relative to the elements, uncorrected: -33 kJ/mol of atoms
Energy: -0.2850 Ry per atom

Unit cell a=7.8421 b=7.8830 c=8.4416 alpha=116.92 beta=102.67 gamma=104.84
Last column: nearest neighbours and their distance in Å.
Space group P-1 (No. 2)
One atom of each set of equivalent atoms:
1 Rb 0.0000 0.0000 0.0000  6 Se 3.51-3.69
2 Bi 0.0168 0.3609 0.6394  3 Se 2.73-2.83
3 As 0.4915 0.0203 0.3560  2 Se 2.36-2.42, 1 As 2.57
4 Se 0.2238 0.7039 0.1191  1 As 2.36
5 Se 0.2303 0.0474 0.6759  1 As 2.42
6 Se 0.2297 0.4761 0.4477  2 Bi 2.73-2.82

=====

No. 2
The following is a PBE calculation of an optimized crystal structure of Rb2BiAsSe4, from the Alexandria database.

Results
Crystal system: orthorhombic
Energy relative to the elements, uncorrected: -51 kJ/mol of atoms
Energy: -0.2628 Ry per atom

Unit cell a=6.8288 b=14.9603 c=24.6273 alpha=90.00 beta=90.00 gamma=90.00
Last column: nearest neighbours and their distance in Å.
Space group Fddd (No. 70, origin choice 2)
One atom of each set of equivalent atoms:
1 Rb 0.1250 0.1250 0.3085  8 Se 3.77-4.19
2 Bi 0.1250 0.1250 0.1250  4 Se 2.82
3 As 0.1250 0.1250 0.6250  4 Se 2.63
4 Se 0.1024 0.2705 0.8168  1 As 2.63, 1 Bi 2.82

=====

No. 3
The following is a PBE calculation of an optimized crystal structure of RbBiAsSe2, from the Alexandria database.

Results
Crystal system: tetragonal
Energy relative to the elements, uncorrected: 0 kJ/mol of atoms
Energy: -0.2421 Ry per atom
Relative energy among the computed polymorphs: 0.0 kJ per mole of atoms

Unit cell a=5.7144 b=5.7144 c=5.5888 alpha=90.00 beta=90.00 gamma=90.00
Last column: nearest neighbours and their distance in Å.
Space group P4/mmm (No. 123)
One atom of each set of equivalent atoms:
1 Rb 0.0000 0.0000 0.0000  8 Se 4.00, 4 As 4.04
2 Bi 0.5000 0.5000 0.5000  2 As 2.79, 4 Se 2.86
3 As 0.5000 0.5000 0.0000  2 Bi 2.79
4 Se 0.0000 0.5000 0.5000  2 Bi 2.86

=====

No. 4
The following is a PBE calculation of an optimized crystal structure of RbTaBiAs2, from the Alexandria database.

Results
Crystal system: tetragonal
Energy of formation: -2 meV per atom
Energy: -0.3824 Ry per atom

Unit cell a=5.1234 b=5.1234 c=5.6191 alpha=90.00 beta=90.00 gamma=90.00
Last column: nearest neighbours and their distance in Å.
Space group P4/mmm (No. 123)
One atom of each set of equivalent atoms:
1 Rb 0.0000 0.0000 0.0000  4 Bi 3.62, 8 As 3.80
2 Ta 0.5000 0.5000 0.5000  4 As 2.56, 2 Bi 2.81
3 Bi 0.5000 0.5000 0.0000  2 Ta 2.81
4 As 0.0000 0.5000 0.5000  2 Ta 2.56

=====

No. 5
The following is a PBE calculation of an optimized crystal structure of RbBiTe3As, from the Alexandria database.

Results
Crystal system: monoclinic
Energy relative to the elements, uncorrected: -32 kJ/mol of atoms
Energy: -0.2565 Ry per atom

Unit cell a=9.6600 b=4.6747 c=10.8739 alpha=90.00 beta=93.80 gamma=90.00
Last column: nearest neighbours and their distance in Å.
Space group P2_1/m (No. 11)
One atom of each set of equivalent atoms:
1 Rb 0.1513 0.2500 0.2797  6 Te 3.76-4.15, 3 As 3.77-3.81
2 Bi 0.3705 0.7500 0.8718  6 Te 3.08-3.22
3 Te 0.1424 0.2500 0.8749  1 As 2.68
4 Te 0.2680 0.7500 0.5842  2 As 2.75
5 Te 0.4130 0.7500 0.1551  3 Bi 3.08-3.16
6 As 0.1297 0.2500 0.6280  3 Te 2.68-2.75

=====

No. 6
The following is a PBE calculation of an optimized crystal structure of Rb2BiTe4As, from the Alexandria database.

Results
Crystal system: orthorhombic
Energy relative to the elements, uncorrected: -43 kJ/mol of atoms
Energy: -0.2442 Ry per atom

Unit cell a=9.2120 b=9.6768 c=13.3542 alpha=90.00 beta=90.00 gamma=90.00
Last column: nearest neighbours and their distance in Å.
Space group Imma (No. 74)
One atom of each set of equivalent atoms:
1 Rb 0.0000 0.0000 0.0000  6 Te 3.51-3.52
2 Rb 0.2500 0.2500 0.2500  6 Te 3.68-3.69
3 Bi 0.0000 0.0000 0.5000  6 Te 3.21-3.22
4 Te 0.0000 0.0482 0.7387  2 As 3.02, 1 Bi 3.22
5 Te 0.2263 0.2500 0.5254  1 As 3.01, 2 Bi 3.21
6 As 0.2500 0.2500 0.7500  6 Te 3.01-3.02

=====

No. 7
The following is a PBE calculation of an optimized crystal structure of Re2BiAs, from the Alexandria database.

Results
Crystal system: cubic
Energy of formation: 896 meV per atom
Energy: -0.5484 Ry per atom
Relative energy among the computed polymorphs: 4.0 kJ per mole of atoms

Unit cell a=6.5093 b=6.5093 c=6.5093 alpha=90.00 beta=90.00 gamma=90.00
Last column: nearest neighbours and their distance in Å.
Space group Fm-3m (No. 225)
One atom of each set of equivalent atoms:
1 Re 0.2500 0.2500 0.2500  4 As 2.82, 4 Bi 2.82
2 Bi 0.0000 0.0000 0.0000  8 Re 2.82
3 As 0.0000 0.0000 0.5000  8 Re 2.82

=====

No. 8
The following is a PBE calculation of an optimized crystal structure of Re2BiAs, from the Alexandria database.

Results
Crystal system: tetragonal
Energy of formation: 854 meV per atom
Energy: -0.5514 Ry per atom
Relative energy among the computed polymorphs: 0.0 kJ per mole of atoms

Unit cell a=4.3686 b=4.3686 c=17.5090 alpha=90.00 beta=90.00 gamma=90.00
Last column: nearest neighbours and their distance in Å.
Space group I-42d (No. 122)
One atom of each set of equivalent atoms:
1 Re 0.1516 0.2500 0.1250  2 As 2.53, 2 Re 2.55
2 Bi 0.0000 0.0000 0.5000  4 Re 2.88, 4 As 3.09
3 As 0.0000 0.0000 0.0000  4 Re 2.53

=====

No. 9
The following is a PBE calculation of an optimized crystal structure of Re2BiAs2, from the Alexandria database.

Results
Crystal system: tetragonal
Energy of formation: 504 meV per atom
Energy: -0.5226 Ry per atom
Relative energy among the computed polymorphs: 0.0 kJ per mole of atoms

Unit cell a=4.0587 b=4.0587 c=11.6474 alpha=90.00 beta=90.00 gamma=90.00
Last column: nearest neighbours and their distance in Å.
Space group I4/mmm (No. 139)
One atom of each set of equivalent atoms:
1 Re 0.0000 0.0000 0.1202  4 As 2.53, 1 Re 2.80
2 Bi 0.0000 0.0000 0.5000  8 Re 3.19, 8 As 3.55
3 As 0.0000 0.5000 0.2500  4 Re 2.53

=====

No. 10
The following is a PBE calculation of an optimized crystal structure of ReBi2As, from the Alexandria database.

Results
Crystal system: tetragonal
Energy of formation: 1016 meV per atom
Energy: -0.3821 Ry per atom

Unit cell a=6.4353 b=6.4353 c=12.5513 alpha=90.00 beta=90.00 gamma=90.00
Last column: nearest neighbours and their distance in Å.
Space group I-42d (No. 122)
One atom of each set of equivalent atoms:
1 Re 0.0000 0.0000 0.0000  4 Bi 2.66
2 Bi 0.2224 0.2500 0.1250  2 Re 2.66, 2 As 2.87
3 As 0.0000 0.0000 0.5000  4 Bi 2.87

=====

No. 11
The following is a PBE calculation of an optimized crystal structure of Re2BiAs2, from the Alexandria database.

Results
Crystal system: tetragonal
Energy of formation: 531 meV per atom
Energy: -0.5207 Ry per atom
Relative energy among the computed polymorphs: 2.6 kJ per mole of atoms

Unit cell a=7.7415 b=7.7415 c=3.0721 alpha=90.00 beta=90.00 gamma=90.00
Last column: nearest neighbours and their distance in Å.
Space group P4/mbm (No. 127)
One atom of each set of equivalent atoms:
1 Re 0.1269 0.3731 0.0000  4 As 2.61, 1 Re 2.78
2 Bi 0.0000 0.0000 0.0000  4 Re 3.05, 2 Bi 3.07, 8 As 3.35
3 As 0.1443 0.6443 0.5000  4 Re 2.61

=====

No. 12
The following is a PBE calculation of an optimized crystal structure of Re3BiAs, from the Alexandria database.

Results
Crystal system: cubic
Energy of formation: 3242 meV per atom
Energy: -0.4361 Ry per atom
Relative energy among the computed polymorphs: 160.9 kJ per mole of atoms

Unit cell a=4.9921 b=4.9921 c=4.9921 alpha=90.00 beta=90.00 gamma=90.00
Last column: nearest neighbours and their distance in Å.
Space group Pm-3m (No. 221)
One atom of each set of equivalent atoms:
1 Re 0.0000 0.0000 0.5000  2 Bi 2.50
2 Bi 0.0000 0.0000 0.0000  6 Re 2.50
3 As 0.5000 0.5000 0.5000  12 Re 3.53